No. 1
Crystalline Er2MgZrSc4 at its relaxed geometry. Source: Alexandria via LeMat-Bulk, functional PBE-GGA.

a b c (Å): 3.325 5.716 10.914
angles (deg): 79.23 90.00 90.00
Sites, in units of the cell vectors:
Sc 0.500 0.750 0.259
Er 0.500 0.000 0.500
Sc 0.000 0.258 0.250
Sc 0.000 0.742 0.750
Zr 0.000 0.500 0.500
Er 0.000 0.000 0.000
Sc 0.500 0.250 0.741
Mg 0.500 0.500 0.000

Magnetic moment (μB per formula unit): 0.00
Symmetry: P2/m (10)
Calculated formation energy (eV/atom): 0.05

***

No. 2
Crystalline ErMgZrSc at its relaxed geometry. Source: Alexandria via LeMat-Bulk, functional PBE-GGA.

a b c (Å): 5.207 5.207 5.207
angles (deg): 60.00 60.00 60.00
Last column: magnetic moment on the atom in μB.
Sites, in units of the cell vectors:
Zr 0.750 0.750 0.750  0.86
Sc 0.000 0.000 0.000  0.34
Er 0.500 0.500 0.500  0.26
Mg 0.250 0.250 0.250  -0.01

Magnetic moment (μB per formula unit): 2.09
Symmetry: F-43m (216)
Calculated formation energy (eV/atom): 0.13

***

No. 3
Crystalline ErMgZrSc at its relaxed geometry. Source: Alexandria via LeMat-Bulk, functional PBE-GGA.

a b c (Å): 3.339 3.338 9.647
angles (deg): 90.00 110.28 89.99
Sites, in units of the cell vectors:
Sc 0.978 0.430 0.085
Mg 0.721 0.929 0.329
Zr 0.243 0.930 0.851
Er 0.488 0.430 0.596

Magnetic moment (μB per formula unit): 0.00
Symmetry: P4mm (99)
Calculated formation energy (eV/atom): -0.03

***

No. 4
Crystalline Er2MgSe at its relaxed geometry. Source: Alexandria via LeMat-Bulk, functional PBE-GGA.

a b c (Å): 3.781 3.781 8.988
angles (deg): 77.86 77.86 60.00
Sites, in units of the cell vectors:
Er 0.265 0.265 0.205
Er 0.068 0.068 0.796
Se 0.667 0.667 0.998
Mg 0.500 0.500 0.501

Magnetic moment (μB per formula unit): 0.00
Symmetry: R3m (160)
Formation energy from raw total energies (eV/atom): -0.76

***

No. 5
Crystalline Er2MgSe at its relaxed geometry. Source: Alexandria via LeMat-Bulk, functional PBE-GGA.

a b c (Å): 3.699 3.699 10.290
angles (deg): 79.65 79.65 60.00
Sites, in units of the cell vectors:
Er 0.107 0.107 0.678
Er 0.893 0.893 0.322
Se 0.500 0.500 0.500
Mg 0.000 0.000 0.000

Magnetic moment (μB per formula unit): 0.00
Symmetry: R-3m (166)
Formation energy from raw total energies (eV/atom): -0.49

***

No. 6
Crystalline Er2MgSe4 at its relaxed geometry. Source: Alexandria via LeMat-Bulk, functional PBE-GGA.

a b c (Å): 8.216 8.216 8.216
angles (deg): 60.00 60.00 60.00
Sites, in units of the cell vectors:
Se 0.735 0.755 0.755
Se 0.255 0.755 0.235
Se 0.255 0.755 0.755
Er 0.500 0.500 0.000
Er 0.500 0.000 0.500
Er 0.000 0.000 0.000
Se 0.745 0.765 0.245
Se 0.265 0.245 0.245
Mg 0.125 0.625 0.625
Se 0.745 0.245 0.245
Se 0.745 0.245 0.765
Se 0.255 0.235 0.755
Er 0.500 0.000 0.000
Mg 0.875 0.375 0.375

Magnetic moment (μB per formula unit): 0.00
Symmetry: Fd-3m (227)
Formation energy from raw total energies (eV/atom): -1.70

***

No. 7
Crystalline Er4MgSe5 at its relaxed geometry. Source: Alexandria via LeMat-Bulk, functional PBE-GGA.

a b c (Å): 3.989 3.989 16.831
angles (deg): 83.19 83.19 60.00
Sites, in units of the cell vectors:
Er 0.298 0.298 0.105
Er 0.098 0.098 0.705
Er 0.702 0.702 0.895
Er 0.902 0.902 0.295
Se 0.198 0.198 0.406
Mg 0.500 0.500 0.500
Se 0.802 0.802 0.594
Se 0.400 0.400 0.799
Se 0.600 0.600 0.201
Se 0.000 0.000 0.000

Magnetic moment (μB per formula unit): 0.00
Symmetry: R-3m (166)
Formation energy from raw total energies (eV/atom): -1.59

***

No. 8
Crystalline Er2MgSe4 at its relaxed geometry. Source: Alexandria via LeMat-Bulk, functional PBE-GGA.

a b c (Å): 6.812 8.163 14.051
angles (deg): 90.00 90.00 90.00
Sites, in units of the cell vectors:
Se 0.733 0.496 0.171
Er 0.497 0.250 0.265
Se 0.767 0.004 0.671
Se 0.767 0.496 0.671
Se 0.749 0.250 0.426
Er 0.500 0.500 0.000
Se 0.714 0.750 0.910
Er 0.003 0.250 0.765
Er 0.000 0.500 0.500
Er 0.997 0.750 0.235
Se 0.286 0.250 0.090
Se 0.267 0.504 0.829
Mg 0.586 0.250 0.594
Se 0.267 0.996 0.829
Se 0.249 0.750 0.074
Se 0.786 0.750 0.410
Er 0.500 0.000 0.000
Se 0.233 0.504 0.329
Er 0.503 0.750 0.735
Se 0.251 0.750 0.574
Mg 0.414 0.750 0.406
Er 0.000 0.000 0.500
Se 0.733 0.004 0.171
Se 0.233 0.996 0.329
Se 0.214 0.250 0.590
Se 0.751 0.250 0.926
Mg 0.086 0.750 0.906
Mg 0.914 0.250 0.094

Magnetic moment (μB per formula unit): 0.00
Symmetry: Pnma (62)
Formation energy from raw total energies (eV/atom): -1.68

***

No. 9
Crystalline Er2MgSe4 at its relaxed geometry. Source: Alexandria via LeMat-Bulk, functional PBE-GGA.

a b c (Å): 7.674 8.104 11.923
angles (deg): 90.00 90.00 90.00
Sites, in units of the cell vectors:
Mg 0.750 0.327 0.897
Se 0.250 0.879 0.451
Er 0.750 0.946 0.987
Er 0.750 0.568 0.187
Er 0.250 0.432 0.813
Se 0.000 0.122 0.839
Se 0.750 0.621 0.951
Mg 0.250 0.673 0.103
Er 0.750 0.446 0.513
Se 0.750 0.121 0.549
Mg 0.750 0.827 0.603
Se 0.500 0.622 0.661
Er 0.250 0.554 0.487
Se 0.500 0.378 0.339
Se 0.500 0.878 0.161
Se 0.750 0.243 0.108
Er 0.250 0.054 0.013
Se 0.250 0.757 0.892
Se 0.000 0.378 0.339
Se 0.750 0.743 0.392
Se 0.000 0.622 0.661
Er 0.250 0.932 0.687
Er 0.750 0.068 0.313
Se 0.250 0.257 0.608
Mg 0.250 0.173 0.397
Se 0.000 0.878 0.161
Se 0.250 0.379 0.049
Se 0.500 0.122 0.839

Magnetic moment (μB per formula unit): 0.00
Symmetry: Pnma (62)
Formation energy from raw total energies (eV/atom): -1.46

***

No. 10
Crystalline Er2MgSe4 at its relaxed geometry. Source: Alexandria via LeMat-Bulk, functional PBE-GGA.

a b c (Å): 7.944 7.944 7.944
angles (deg): 106.02 106.02 116.61
Sites, in units of the cell vectors:
Er 0.606 0.125 0.981
Se 0.636 0.842 0.698
Se 0.158 0.856 0.794
Se 0.144 0.938 0.302
Se 0.062 0.364 0.206
Se 0.114 0.312 0.706
Se 0.606 0.408 0.294
Se 0.688 0.394 0.802
Er 0.375 0.394 0.519
Er 0.144 0.625 0.019
Er 0.875 0.856 0.481
Se 0.592 0.886 0.198
Mg 0.000 0.000 0.000
Mg 0.750 0.250 0.500

Magnetic moment (μB per formula unit): 0.00
Symmetry: I-42d (122)
Formation energy from raw total energies (eV/atom): -1.66

***

No. 11
Crystalline ErMg2Se4 at its relaxed geometry. Source: Alexandria via LeMat-Bulk, functional PBE-GGA.

a b c (Å): 3.822 6.646 13.280
angles (deg): 90.00 90.00 106.71
Sites, in units of the cell vectors:
Er 0.383 0.766 0.250
Mg 0.867 0.733 0.931
Mg 0.133 0.267 0.069
Se 0.783 0.566 0.382
Se 0.217 0.434 0.618
Se 0.500 0.000 0.000
Se 0.217 0.434 0.882
Se 0.047 0.094 0.250
Se 0.783 0.566 0.118
Mg 0.133 0.267 0.431
Er 0.617 0.234 0.750
Se 0.953 0.906 0.750
Mg 0.867 0.733 0.569
Se 0.500 0.000 0.500

Magnetic moment (μB per formula unit): 0.00
Symmetry: Cmcm (63)
Formation energy from raw total energies (eV/atom): -1.27

***

No. 12
Crystalline Er3MgSe4 at its relaxed geometry. Source: Alexandria via LeMat-Bulk, functional PBE-GGA.

a b c (Å): 3.963 3.963 13.621
angles (deg): 81.64 81.64 60.00
Sites, in units of the cell vectors:
Se 0.628 0.628 0.117
Er 0.751 0.751 0.746
Mg 0.000 0.000 0.000
Er 0.500 0.500 0.500
Se 0.875 0.875 0.375
Se 0.125 0.125 0.625
Er 0.249 0.249 0.254
Se 0.372 0.372 0.883

Magnetic moment (μB per formula unit): 0.00
Symmetry: R-3m (166)
Formation energy from raw total energies (eV/atom): -1.55

***

No. 13
Crystalline Er2MgSe4 at its relaxed geometry. Source: Alexandria via LeMat-Bulk, functional PBE-GGA.

a b c (Å): 3.996 13.103 14.016
angles (deg): 90.00 90.00 90.00
Sites, in units of the cell vectors:
Se 0.250 0.993 0.381
Se 0.750 0.507 0.881
Se 0.750 0.007 0.619
Er 0.250 0.615 0.425
Se 0.250 0.493 0.119
Mg 0.750 0.111 0.456
Se 0.250 0.741 0.986
Mg 0.250 0.389 0.956
Se 0.250 0.530 0.618
Se 0.250 0.723 0.252
Er 0.750 0.885 0.925
Se 0.750 0.277 0.748
Se 0.750 0.259 0.014
Se 0.750 0.470 0.382
Se 0.250 0.223 0.248
Er 0.750 0.385 0.575
Mg 0.750 0.611 0.044
Er 0.750 0.358 0.202
Se 0.250 0.030 0.882
Se 0.250 0.241 0.514
Se 0.750 0.970 0.118
Er 0.250 0.115 0.075
Se 0.750 0.777 0.752
Se 0.750 0.759 0.486
Er 0.250 0.642 0.798
Er 0.750 0.858 0.298
Mg 0.250 0.889 0.544
Er 0.250 0.142 0.702

Magnetic moment (μB per formula unit): 0.00
Symmetry: Pnma (62)
Formation energy from raw total energies (eV/atom): -1.64

***

No. 14
Crystalline Er6MgSe8 at its relaxed geometry. Source: Alexandria via LeMat-Bulk, functional PBE-GGA.

a b c (Å): 8.042 8.042 8.042
angles (deg): 60.00 60.00 60.00
Sites, in units of the cell vectors:
Se 0.755 0.755 0.245
Se 0.250 0.250 0.250
Er 0.500 0.000 0.500
Er 0.000 0.500 0.000
Er 0.500 0.000 0.000
Mg 0.000 0.000 0.000
Er 0.500 0.500 0.000
Se 0.755 0.245 0.245
Er 0.000 0.000 0.500
Se 0.245 0.755 0.755
Se 0.245 0.755 0.245
Se 0.755 0.245 0.755
Se 0.245 0.245 0.755
Er 0.000 0.500 0.500
Se 0.750 0.750 0.750

Magnetic moment (μB per formula unit): 0.03
Symmetry: Fm-3m (225)
Formation energy from raw total energies (eV/atom): -1.72

***

No. 15
Crystalline ErMgSe3 at its relaxed geometry. Source: Alexandria via LeMat-Bulk, functional PBE-GGA.

a b c (Å): 7.367 7.367 7.367
angles (deg): 56.99 56.99 56.99
Sites, in units of the cell vectors:
Se 0.938 0.564 0.241
Se 0.759 0.062 0.436
Mg 0.153 0.153 0.153
Er 0.655 0.655 0.655
Er 0.345 0.345 0.345
Se 0.241 0.938 0.564
Se 0.062 0.436 0.759
Mg 0.847 0.847 0.847
Se 0.564 0.241 0.938
Se 0.436 0.759 0.062

Magnetic moment (μB per formula unit): 0.00
Symmetry: R-3 (148)
Formation energy from raw total energies (eV/atom): -1.24

***

No. 16
Crystalline Er2MgSe4 at its relaxed geometry. Source: Alexandria via LeMat-Bulk, functional PBE-GGA.

a b c (Å): 7.418 8.577 13.963
angles (deg): 98.52 95.16 90.13
Sites, in units of the cell vectors:
Se 0.907 0.354 0.896
Se 0.829 0.218 0.371
Er 0.632 0.443 0.295
Se 0.597 0.404 0.100
Se 0.305 0.976 0.370
Se 0.603 0.898 0.104
Er 0.367 0.045 0.700
Se 0.307 0.455 0.368
Mg 0.249 0.379 0.005
Se 0.397 0.102 0.896
Er 0.135 0.698 0.299
Er 0.756 0.127 0.999
Er 0.368 0.557 0.705
Mg 0.751 0.621 0.995
Se 0.191 0.283 0.625
Se 0.695 0.024 0.630
Se 0.093 0.646 0.104
Se 0.693 0.545 0.632
Se 0.106 0.155 0.104
Er 0.633 0.955 0.300
Er 0.865 0.302 0.701
Se 0.403 0.596 0.900
Er 0.244 0.873 0.001
Mg 0.867 0.804 0.710
Se 0.171 0.782 0.629
Se 0.894 0.845 0.896
Se 0.809 0.717 0.375
Mg 0.133 0.196 0.290

Magnetic moment (μB per formula unit): 0.00
Symmetry: P-1 (2)
Formation energy from raw total energies (eV/atom): -1.51

***

No. 17
Crystalline ErMgSe3 at its relaxed geometry. Source: Alexandria via LeMat-Bulk, functional PBE-GGA.

a b c (Å): 7.230 7.230 7.056
angles (deg): 73.20 73.20 112.46
Last column: magnetic moment on the atom in μB.
Sites, in units of the cell vectors:
Se 0.078 0.778 0.839  0.27
Se 0.922 0.222 0.161  0.27
Er 0.778 0.778 0.238  0.01
Er 0.222 0.222 0.762  0.01
Se 0.406 0.406 0.299  0.04
Mg 0.662 0.338 0.000  0.00
Se 0.222 0.922 0.161  0.27
Mg 0.338 0.662 0.000  0.00
Se 0.594 0.594 0.701  0.04
Se 0.778 0.078 0.839  0.27

Magnetic moment (μB per formula unit): 0.94
Symmetry: C2/m (12)
Formation energy from raw total energies (eV/atom): -1.15

***

No. 18
Crystalline Er4MgSe5 at its relaxed geometry. Source: Alexandria via LeMat-Bulk, functional PBE-GGA.

a b c (Å): 5.672 6.960 6.960
angles (deg): 80.44 65.95 65.95
Sites, in units of the cell vectors:
Er 0.809 0.786 0.597
Se 0.285 0.815 0.616
Er 0.406 0.403 0.786
Er 0.193 0.214 0.403
Er 0.596 0.597 0.214
Se 0.902 0.384 0.815
Se 0.716 0.185 0.384
Mg 0.002 0.000 0.000
Se 0.501 0.000 0.000
Se 0.100 0.616 0.185

Magnetic moment (μB per formula unit): 0.00
Symmetry: I4/m (87)
Formation energy from raw total energies (eV/atom): -1.57

***

No. 19
Crystalline Tb3Er3MgSe8 at its relaxed geometry. Source: Alexandria via LeMat-Bulk, functional PBE-GGA.

a b c (Å): 8.083 8.083 8.111
angles (deg): 119.89 90.00 120.00
Sites, in units of the cell vectors:
Mg 0.000 0.000 0.500
Se 0.244 0.488 0.741
Er 0.000 0.500 0.500
Se 0.756 0.003 0.259
Se 0.748 0.497 0.745
Se 0.756 0.512 0.259
Tb 0.500 0.500 0.000
Se 0.247 0.003 0.259
Tb 0.000 0.000 0.000
Er 0.500 0.500 0.500
Tb 0.000 0.500 0.000
Er 0.500 0.000 0.500
Se 0.244 0.997 0.741
Se 0.753 0.997 0.741
Se 0.252 0.503 0.255

Magnetic moment (μB per formula unit): 0.00
Symmetry: R-3m (166)
Formation energy from raw total energies (eV/atom): -1.75